1.
# TiAlReB2 (PBE-GGA, relaxed)
# Total DFT energy (no corrections) in eV per atom: -5.708
# Calculated formation energy in meV/atom: 1780
# Fermi-level density of states in states/eV/cell: 2.7
# Space group: P4/mmm, No. 123
data_TiAlReB2
_chemical_formula_sum 'Ti1 Al1 Re1 B2'
_space_group_name_H-M_alt 'P 1'
_space_group_IT_number 1
_space_group_name_Hall 'P 1'
_cell_length_a 3.9534
_cell_length_b 4.6215
_cell_length_c 3.9534
_cell_angle_alpha 90.00
_cell_angle_beta 90.00
_cell_angle_gamma 90.00
loop_
_atom_site_label
_atom_site_fract_x
_atom_site_fract_y
_atom_site_fract_z
_atom_site_occupancy
Al1 0.0000 0.5000 0.0000 1
Ti1 0.0000 0.0000 0.0000 1
B1 0.5000 0.0000 0.0000 1
B2 0.0000 0.0000 0.5000 1
Re1 0.5000 0.5000 0.5000 1

---

2.
# Nd4TlCuAg2 (PBE-GGA, relaxed)
# Total DFT energy (no corrections) in eV per atom: -4.157
# Calculated formation energy in meV/atom: -253
# Fermi-level density of states in states/eV/cell: 7.4
# Space group: R-3m, No. 166
data_Nd4TlCuAg2
_chemical_formula_sum 'Nd4 Tl1 Cu1 Ag2'
_space_group_name_H-M_alt 'P 1'
_space_group_IT_number 1
_space_group_name_Hall 'P 1'
_cell_length_a 5.3283
_cell_length_b 5.3283
_cell_length_c 9.1817
_cell_angle_alpha 73.13
_cell_angle_beta 73.13
_cell_angle_gamma 60.00
loop_
_atom_site_label
_atom_site_fract_x
_atom_site_fract_y
_atom_site_fract_z
_atom_site_occupancy
Ag1 0.7443 0.7443 0.7672 1
Nd1 0.8686 0.8686 0.3943 1
Nd2 0.3825 0.3825 0.8524 1
Ag2 0.2557 0.2557 0.2328 1
Nd3 0.1314 0.1314 0.6057 1
Cu1 0.5000 0.5000 0.5000 1
Nd4 0.6175 0.6175 0.1476 1
Tl1 0.0000 0.0000 0.0000 1

---

3.
# Ac3Pm5Nd4 (PBE-GGA, relaxed)
# Total DFT energy (no corrections) in eV per atom: -4.564
# Calculated formation energy in meV/atom: 32
# Fermi-level density of states in states/eV/cell: 19.9
# Space group: P-1, No. 2
data_Ac3Pm5Nd4
_chemical_formula_sum 'Ac3 Pm5 Nd4'
_space_group_name_H-M_alt 'P 1'
_space_group_IT_number 1
_space_group_name_Hall 'P 1'
_cell_length_a 7.5222
_cell_length_b 9.9464
_cell_length_c 13.5058
_cell_angle_alpha 137.43
_cell_angle_beta 56.04
_cell_angle_gamma 139.18
loop_
_atom_site_label
_atom_site_fract_x
_atom_site_fract_y
_atom_site_fract_z
_atom_site_occupancy
Nd1 0.9140 0.8274 0.1616 1
Pm1 0.5000 0.0000 0.5000 1
Nd2 0.0860 0.1726 0.8384 1
Ac1 0.0000 0.0000 0.5000 1
Pm2 0.3334 0.6740 0.8403 1
Pm3 0.6666 0.3260 0.1597 1
Ac2 0.2468 0.5002 0.5002 1
Ac3 0.7532 0.4998 0.4998 1
Pm4 0.4181 0.8283 0.1620 1
Pm5 0.5819 0.1717 0.8380 1
Nd3 0.8291 0.6684 0.8391 1
Nd4 0.1709 0.3316 0.1609 1